Entry from Alexandria via LeMat-Bulk: a geometry-optimized Pm12Ga3Hg5 structure (PBE).

Values from the calculation:
Raw total energy in eV for the cell shown: -268.578
DOS(E_F) in states/eV/atom: 1.451
Volume in Å³ per cell: 2818.30
ΔH_f (0 K) in meV per atom: 23

abc: 15.4124 15.4124 15.4124
angles: 109.47 109.47 109.47
Last column: nearest neighbours and their distance in Å.
Positions (direct):
Pm: 0.0646 0.2288 0.1374  2 Hg 3.00-3.03, 2 Ga 3.10-3.33, 1 Pm 3.29
Pm: 0.0646 0.3358 0.9272  2 Hg 3.00-3.03, 2 Ga 3.10-3.33, 1 Pm 3.29
Pm: 0.0728 0.6374 0.4086  2 Hg 3.00-3.03, 2 Ga 3.10-3.33, 1 Pm 3.29
Pm: 0.0728 0.9354 0.6642  2 Hg 3.00-3.03, 2 Ga 3.10-3.33, 1 Pm 3.29
Pm: 0.0914 0.7288 0.6642  2 Hg 3.00-3.03, 2 Ga 3.10-3.33, 1 Pm 3.29
Pm: 0.0914 0.8626 0.4272  2 Hg 3.00-3.03, 2 Ga 3.10-3.33, 1 Pm 3.29
Pm: 0.1374 0.0646 0.2288  2 Hg 3.00-3.03, 2 Ga 3.10-3.33, 1 Pm 3.29
Pm: 0.1374 0.5728 0.9086  2 Hg 3.00-3.03, 2 Ga 3.10-3.33, 1 Pm 3.29
Pm: 0.1642 0.2288 0.5914  2 Hg 3.00-3.03, 2 Ga 3.10-3.33, 1 Pm 3.29
Pm: 0.1642 0.4354 0.5728  2 Hg 3.00-3.03, 2 Ga 3.10-3.33, 1 Pm 3.29
Pm: 0.2288 0.1374 0.0646  2 Hg 3.00-3.03, 2 Ga 3.10-3.33, 1 Pm 3.29
Pm: 0.2288 0.5914 0.1642  2 Hg 3.00-3.03, 2 Ga 3.10-3.33, 1 Pm 3.29
Pm: 0.2712 0.3358 0.9086  2 Hg 3.00-3.03, 2 Ga 3.10-3.33, 1 Pm 3.29
Pm: 0.2712 0.4354 0.3626  2 Hg 3.00-3.03, 2 Ga 3.10-3.33, 1 Pm 3.29
Pm: 0.3358 0.9086 0.2712  2 Hg 3.00-3.03, 2 Ga 3.10-3.33, 1 Pm 3.29
Pm: 0.3358 0.9272 0.0646  2 Hg 3.00-3.03, 2 Ga 3.10-3.33, 1 Pm 3.29
Pm: 0.3626 0.2712 0.4354  2 Hg 3.00-3.03, 2 Ga 3.10-3.33, 1 Pm 3.29
Pm: 0.3626 0.5914 0.9272  2 Hg 3.00-3.03, 2 Ga 3.10-3.33, 1 Pm 3.29
Pm: 0.4086 0.0728 0.6374  2 Hg 3.00-3.03, 2 Ga 3.10-3.33, 1 Pm 3.29
Pm: 0.4086 0.8358 0.7712  2 Hg 3.00-3.03, 2 Ga 3.10-3.33, 1 Pm 3.29
Pm: 0.4272 0.0914 0.8626  2 Hg 3.00-3.03, 2 Ga 3.10-3.33, 1 Pm 3.29
Pm: 0.4272 0.8358 0.5646  2 Hg 3.00-3.03, 2 Ga 3.10-3.33, 1 Pm 3.29
Pm: 0.4354 0.3626 0.2712  2 Hg 3.00-3.03, 2 Ga 3.10-3.33, 1 Pm 3.29
Pm: 0.4354 0.5728 0.1642  2 Hg 3.00-3.03, 2 Ga 3.10-3.33, 1 Pm 3.29
Pm: 0.5646 0.4272 0.8358  2 Hg 3.00-3.03, 2 Ga 3.10-3.33, 1 Pm 3.29
Pm: 0.5646 0.6374 0.7288  2 Hg 3.00-3.03, 2 Ga 3.10-3.33, 1 Pm 3.29
Pm: 0.5728 0.1642 0.4354  2 Hg 3.00-3.03, 2 Ga 3.10-3.33, 1 Pm 3.29
Pm: 0.5728 0.9086 0.1374  2 Hg 3.00-3.03, 2 Ga 3.10-3.33, 1 Pm 3.29
Pm: 0.5914 0.1642 0.2288  2 Hg 3.00-3.03, 2 Ga 3.10-3.33, 1 Pm 3.29
Pm: 0.5914 0.9272 0.3626  2 Hg 3.00-3.03, 2 Ga 3.10-3.33, 1 Pm 3.29
Pm: 0.6374 0.4086 0.0728  2 Hg 3.00-3.03, 2 Ga 3.10-3.33, 1 Pm 3.29
Pm: 0.6374 0.7288 0.5646  2 Hg 3.00-3.03, 2 Ga 3.10-3.33, 1 Pm 3.29
Pm: 0.6642 0.0728 0.9354  2 Hg 3.00-3.03, 2 Ga 3.10-3.33, 1 Pm 3.29
Pm: 0.6642 0.0914 0.7288  2 Hg 3.00-3.03, 2 Ga 3.10-3.33, 1 Pm 3.29
Pm: 0.7288 0.5646 0.6374  2 Hg 3.00-3.03, 2 Ga 3.10-3.33, 1 Pm 3.29
Pm: 0.7288 0.6642 0.0914  2 Hg 3.00-3.03, 2 Ga 3.10-3.33, 1 Pm 3.29
Pm: 0.7712 0.4086 0.8358  2 Hg 3.00-3.03, 2 Ga 3.10-3.33, 1 Pm 3.29
Pm: 0.7712 0.8626 0.9354  2 Hg 3.00-3.03, 2 Ga 3.10-3.33, 1 Pm 3.29
Pm: 0.8358 0.5646 0.4272  2 Hg 3.00-3.03, 2 Ga 3.10-3.33, 1 Pm 3.29
Pm: 0.8358 0.7712 0.4086  2 Hg 3.00-3.03, 2 Ga 3.10-3.33, 1 Pm 3.29
Pm: 0.8626 0.4272 0.0914  2 Hg 3.00-3.03, 2 Ga 3.10-3.33, 1 Pm 3.29
Pm: 0.8626 0.9354 0.7712  2 Hg 3.00-3.03, 2 Ga 3.10-3.33, 1 Pm 3.29
Pm: 0.9086 0.1374 0.5728  2 Hg 3.00-3.03, 2 Ga 3.10-3.33, 1 Pm 3.29
Pm: 0.9086 0.2712 0.3358  2 Hg 3.00-3.03, 2 Ga 3.10-3.33, 1 Pm 3.29
Pm: 0.9272 0.0646 0.3358  2 Hg 3.00-3.03, 2 Ga 3.10-3.33, 1 Pm 3.29
Pm: 0.9272 0.3626 0.5914  2 Hg 3.00-3.03, 2 Ga 3.10-3.33, 1 Pm 3.29
Pm: 0.9354 0.6642 0.0728  2 Hg 3.00-3.03, 2 Ga 3.10-3.33, 1 Pm 3.29
Pm: 0.9354 0.7712 0.8626  2 Hg 3.00-3.03, 2 Ga 3.10-3.33, 1 Pm 3.29
Ga: 0.1250 0.2500 0.3750  8 Pm 3.10-3.33
Ga: 0.1250 0.3750 0.7500  8 Pm 3.10-3.33
Ga: 0.2500 0.3750 0.1250  8 Pm 3.10-3.33
Ga: 0.2500 0.8750 0.6250  8 Pm 3.10-3.33
Ga: 0.3750 0.1250 0.2500  8 Pm 3.10-3.33
Ga: 0.3750 0.7500 0.1250  8 Pm 3.10-3.33
Ga: 0.6250 0.2500 0.8750  8 Pm 3.10-3.33
Ga: 0.6250 0.8750 0.7500  8 Pm 3.10-3.33
Ga: 0.7500 0.1250 0.3750  8 Pm 3.10-3.33
Ga: 0.7500 0.6250 0.8750  8 Pm 3.10-3.33
Ga: 0.8750 0.6250 0.2500  8 Pm 3.10-3.33
Ga: 0.8750 0.7500 0.6250  8 Pm 3.10-3.33
Hg: 0.0000 0.0000 0.0000  6 Pm 3.03
Hg: 0.0000 0.0000 0.5000  6 Pm 3.03
Hg: 0.0000 0.5000 0.0000  6 Pm 3.03
Hg: 0.0000 0.5000 0.5000  6 Pm 3.03
Hg: 0.1250 0.7500 0.8750  4 Pm 3.00
Hg: 0.1250 0.8750 0.2500  4 Pm 3.00
Hg: 0.2500 0.1250 0.8750  4 Pm 3.00
Hg: 0.2500 0.6250 0.3750  4 Pm 3.00
Hg: 0.3750 0.2500 0.6250  4 Pm 3.00
Hg: 0.3750 0.6250 0.7500  4 Pm 3.00
Hg: 0.5000 0.0000 0.0000  6 Pm 3.03
Hg: 0.5000 0.0000 0.5000  6 Pm 3.03
Hg: 0.5000 0.5000 0.0000  6 Pm 3.03
Hg: 0.5000 0.5000 0.5000  6 Pm 3.03
Hg: 0.6250 0.3750 0.2500  4 Pm 3.00
Hg: 0.6250 0.7500 0.3750  4 Pm 3.00
Hg: 0.7500 0.3750 0.6250  4 Pm 3.00
Hg: 0.7500 0.8750 0.1250  4 Pm 3.00
Hg: 0.8750 0.1250 0.7500  4 Pm 3.00
Hg: 0.8750 0.2500 0.1250  4 Pm 3.00